VASP calculation (PBE+U) on an optimized crystal structure of YMg6CoO8.

Cell lengths 4.385, 4.385, 8.928 Å; angles 90.00, 90.00, 90.00 degrees
Space group P4/mmm (No. 123)
Inequivalent atoms, fractional coordinates:
Y: 0.000 0.000 0.000 (multiplicity 1)
Mg: 0.000 0.500 0.275 (multiplicity 4)
Mg: 0.500 0.500 0.000 (multiplicity 1)
Mg: 0.500 0.500 0.500 (multiplicity 1)
Co: 0.000 0.000 0.500 (multiplicity 1)
O: 0.000 0.000 0.248 (multiplicity 2)
O: 0.000 0.500 0.000 (multiplicity 2)
O: 0.000 0.500 0.500 (multiplicity 2)
O: 0.500 0.500 0.249 (multiplicity 2)

Values from the calculation:
Relative energy among the computed polymorphs   53 meV/atom